Entry 1:
Computed, not measured: a relaxed Sc2NiAs crystal at the GGA-PBE level of DFT.

SG: Amm2
Calculated total energy: -26.761 eV per cell
ΔH_f (0 K): -0.9169 eV per atom
N(E_F): 2.20 states/eV/f.u.

Unit cell a=3.8754 b=3.6995 c=5.3282 alpha=69.68 beta=90.00 gamma=90.00
Last column: nearest neighbours and their distance in Å.
Positions (direct):
Sc 0.0000 0.9851 0.9050  4 Ni 2.74, 3 As 2.83-2.85
Sc 0.5000 0.2709 0.3331  3 Ni 2.71-2.94, 4 As 2.77
Ni 0.5000 0.5426 0.7900  2 As 2.51, 5 Sc 2.71-2.74
As 0.0000 0.7015 0.4718  2 Ni 2.51, 4 Sc 2.77

=====

Entry 2:
Computed, not measured: a relaxed ScNi2As crystal at the GGA-PBE level of DFT.

SG: F-43m
Calculated total energy: -24.091 eV per cell
ΔH_f (0 K): -0.3868 eV per atom
N(E_F): 2.83 states/eV/f.u.

Unit cell a=4.3216 b=4.3216 c=4.3216 alpha=60.00 beta=60.00 gamma=60.00
Last column: nearest neighbours and their distance in Å.
Positions (direct):
As 0.5000 0.5000 0.5000  4 Ni 2.65, 4 Sc 2.65
Ni 0.0000 0.0000 0.0000  4 Ni 2.65, 4 Sc 2.65
Ni 0.2500 0.2500 0.2500  4 As 2.65, 4 Ni 2.65
Sc 0.7500 0.7500 0.7500  4 As 2.65, 4 Ni 2.65

=====

Entry 3:
Computed, not measured: a relaxed Sc2NiAs crystal at the GGA-PBE level of DFT.

SG: I-42d
Calculated total energy: -49.649 eV per cell
ΔH_f (0 K): -0.4326 eV per atom
N(E_F): 2.04 states/eV/f.u.

Unit cell a=6.9923 b=6.9923 c=5.8538 alpha=53.33 beta=53.33 gamma=90.00
Last column: nearest neighbours and their distance in Å.
Positions (direct):
Sc 0.6033 0.1250 0.2500  2 Ni 2.49, 2 As 2.70
Sc 0.1467 0.6250 0.2500  2 Ni 2.49, 2 As 2.70
Sc 0.3750 0.3967 0.7500  2 Ni 2.49, 2 As 2.70
Sc 0.8750 0.8533 0.7500  2 Ni 2.49, 2 As 2.70
Ni 0.5000 0.5000 0.0000  4 Sc 2.49
Ni 0.2500 0.7500 0.5000  4 Sc 2.49
As 0.0000 0.0000 0.0000  4 Sc 2.70
As 0.7500 0.2500 0.5000  4 Sc 2.70

=====

Entry 4:
Computed, not measured: a relaxed Sc2NiAs crystal at the GGA-PBE level of DFT.

SG: P4/mmm
Calculated total energy: -25.944 eV per cell
ΔH_f (0 K): -0.7126 eV per atom
N(E_F): 2.16 states/eV/f.u.

Unit cell a=3.3696 b=3.3663 c=7.0517 alpha=61.52 beta=90.00 gamma=90.00
Last column: nearest neighbours and their distance in Å.
Positions (direct):
As 0.5000 0.2500 0.2500  8 Sc 2.85-2.86, 2 Ni 3.10
Ni 0.5000 0.7500 0.7500  8 Sc 2.83, 2 As 3.10
Sc 0.0000 0.0047 0.9958  4 Ni 2.83, 4 As 2.85-2.86, 2 Sc 3.05-3.15
Sc 0.0000 0.4953 0.5042  4 Ni 2.83, 4 As 2.85-2.86, 2 Sc 3.05-3.15

=====

Entry 5:
Computed, not measured: a relaxed Sc2NiAs crystal at the GGA-PBE level of DFT.

SG: Cmm2
Calculated total energy: -24.529 eV per cell
ΔH_f (0 K): -0.3589 eV per atom
N(E_F): 5.43 states/eV/f.u.

Unit cell a=3.2756 b=3.2756 c=7.1092 alpha=90.00 beta=90.00 gamma=99.40
Last column: nearest neighbours and their distance in Å.
Positions (direct):
As 0.0000 0.0000 0.5457  2 Ni 2.45
Ni 0.5000 0.5000 0.7193  2 As 2.45, 2 Sc 2.63
Sc 0.0000 0.0000 0.9391  4 Ni 2.63-2.95, 1 As 2.80
Sc 0.5000 0.5000 0.2959  4 As 2.76-3.07, 1 Ni 3.01

=====

Entry 6:
Computed, not measured: a relaxed ScNi3As2 crystal at the GGA-PBE level of DFT.

SG: C2/m
Calculated total energy: -110.573 eV per cell
ΔH_f (0 K): -0.6472 eV per atom
N(E_F): 3.58 states/eV/f.u.

Unit cell a=3.7587 b=7.9203 c=9.2635 alpha=106.20 beta=90.00 gamma=103.73
Last column: nearest neighbours and their distance in Å.
Positions (direct):
Sc 0.1538 0.3076 0.6995  6 As 2.85-3.02, 7 Ni 2.92-3.17
Sc 0.8462 0.6924 0.3005  6 As 2.85-3.02, 7 Ni 2.92-3.17
Sc 0.0000 0.0000 0.0000  6 Ni 2.88-2.99, 6 As 2.90-2.94
Ni 0.0412 0.0825 0.3356  4 As 2.37-2.48, 3 Ni 2.58-2.61
Ni 0.9588 0.9175 0.6644  4 As 2.37-2.48, 3 Ni 2.58-2.61
Ni 0.2154 0.4307 0.3898  4 As 2.26-2.40
Ni 0.7846 0.5693 0.6102  4 As 2.26-2.40
Ni 0.6181 0.2362 0.1978  4 As 2.36-2.47, 1 Ni 2.55
Ni 0.3819 0.7638 0.8022  4 As 2.36-2.47, 1 Ni 2.55
Ni 0.5000 0.0000 0.5000  2 As 2.28
Ni 0.3195 0.6389 0.0297  4 As 2.32-2.38, 1 Ni 2.55
Ni 0.6805 0.3611 0.9703  4 As 2.32-2.38, 1 Ni 2.55
As 0.1981 0.3961 0.1336  6 Ni 2.31-2.41
As 0.8019 0.6039 0.8664  6 Ni 2.31-2.41
As 0.4597 0.9193 0.2099  5 Ni 2.32-2.58
As 0.5403 0.0807 0.7901  5 Ni 2.32-2.58
As 0.3602 0.7204 0.5397  7 Ni 2.26-2.48
As 0.6398 0.2796 0.4603  7 Ni 2.26-2.48

=====

Entry 7:
Computed, not measured: a relaxed ScNi2As crystal at the GGA-PBE level of DFT.

SG: I-4m2
Calculated total energy: -24.400 eV per cell
ΔH_f (0 K): -0.4640 eV per atom
N(E_F): 2.18 states/eV/f.u.

Unit cell a=4.7090 b=4.7090 c=4.7090 alpha=131.83 beta=131.83 gamma=70.50
Last column: nearest neighbours and their distance in Å.
Positions (direct):
As 0.7500 0.2500 0.5000  8 Ni 2.72, 4 Sc 2.72
Ni 0.0000 0.0000 0.0000  4 Sc 2.72, 4 Ni 2.72, 4 As 2.72
Ni 0.2500 0.7500 0.5000  4 As 2.72, 4 Ni 2.72, 4 Sc 2.72
Sc 0.5000 0.5000 0.0000  8 Ni 2.72, 4 As 2.72

=====

Entry 8:
Computed, not measured: a relaxed ScNi2As crystal at the GGA-PBE level of DFT.

SG: Pmmm
Calculated total energy: -24.526 eV per cell
ΔH_f (0 K): -0.4957 eV per atom
N(E_F): 2.23 states/eV/f.u.

Unit cell a=3.9023 b=3.1946 c=4.9759 alpha=89.97 beta=90.00 gamma=90.00
Last column: nearest neighbours and their distance in Å.
Positions (direct):
As 0.5000 0.7500 0.7500  4 Ni 2.33
Ni 0.0000 0.7502 0.0078  2 As 2.33, 2 Ni 2.41-2.57
Ni 0.0000 0.7498 0.4922  2 As 2.33, 2 Ni 2.41-2.57
Sc 0.5000 0.2500 0.2500  8 Ni 2.79-2.80, 4 As 2.96